Entry 1:
Pa2TaCr2C4: optimized geometry, PBE.

Calculated values
Total magnetic moment ... 0.54 μB per cell
Crystal system ... monoclinic
Energy ... -178.41 eV for the cell shown
DFT formation energy ... -0.25 eV per atom
N(E_F) ... 11.344 states/eV/cell

Unit cell a=13.4681 b=3.1035 c=5.6432 alpha=90.00 beta=103.16 gamma=90.00
With the nearest neighbours (Å) after each atom.
Space group C2/m (No. 12)
Inequivalent atoms, fractional coordinates:
Pa  0.1277  0.0000  0.0330 [4 per cell]  5 C 2.46-2.51
Ta  0.0000  0.0000  0.5000 [2 per cell]  4 C 2.21
Cr  0.1804  0.5000  0.5286 [4 per cell]  4 C 2.01-2.10
C  0.0434  0.5000  0.2629 [4 per cell]  1 Cr 2.10, 2 Ta 2.21
C  0.2413  0.0000  0.7372 [4 per cell]  3 Cr 2.01-2.02

Entry 2:
CdInSn: optimized geometry, PBE.

Calculated values
Total magnetic moment ... 0.00 μB per cell
ΔE to the lowest computed polymorph ... 30 meV per atom
Crystal system ... orthorhombic
Energy ... -29.79 eV for the cell shown
DFT formation energy ... 0.07 eV per atom
N(E_F) ... 4.539 states/eV/cell

Unit cell a=3.1819 b=18.7938 c=5.4477 alpha=90.00 beta=90.00 gamma=90.00
With the nearest neighbours (Å) after each atom.
Space group Cmcm (No. 63)
Inequivalent atoms, fractional coordinates:
Cd  0.0000  0.0426  0.2500 [4 per cell]  3 In 3.08-3.10, 4 Cd 3.16-3.18, 1 Sn 3.27
In  0.0000  0.1215  0.7500 [4 per cell]  3 Cd 3.08-3.10, 2 In 3.18, 4 Sn 3.26-3.43
Sn  0.0000  0.2167  0.2500 [4 per cell]  6 Sn 3.18-3.39, 4 In 3.26-3.43, 1 Cd 3.27

Entry 3:
NaTlSi2Mo: optimized geometry, PBE.

Calculated values
Energy relative to the elements, uncorrected ... 7.86 eV/f.u.
Total magnetic moment ... 3.77 μB per cell
Crystal system ... tetragonal
Energy ... -17.51 eV for the cell shown
N(E_F) ... 1.925 states/eV/cell

Unit cell a=5.2673 b=5.2673 c=5.4431 alpha=90.00 beta=90.00 gamma=90.00
With the nearest neighbours (Å) after each atom.
Space group P4/mmm (No. 123)
Inequivalent atoms, fractional coordinates:
Na  0.0000  0.0000  0.0000 [1 per cell]  4 Mo 3.72, 8 Si 3.79
Tl  0.5000  0.5000  0.5000 [1 per cell]  4 Si 2.63, 2 Mo 2.72
Si  0.0000  0.5000  0.5000 [2 per cell]  2 Tl 2.63
Mo  0.5000  0.5000  0.0000 [1 per cell]  2 Tl 2.72

Entry 4:
SmDyTm: optimized geometry, PBE.

Calculated values
Total magnetic moment ... 0.00 μB per cell
ΔE to the lowest computed polymorph ... 221 meV per atom
Crystal system ... tetragonal
Energy ... -26.29 eV for the cell shown
DFT formation energy ... 0.22 eV per atom
N(E_F) ... 8.112 states/eV/cell

Unit cell a=4.8233 b=4.8233 c=8.5976 alpha=90.00 beta=90.00 gamma=90.00
With the nearest neighbours (Å) after each atom.
Space group P4/nmm (No. 129, origin choice 2)
Inequivalent atoms, fractional coordinates:
Sm  0.2500  0.2500  0.1949 [2 per cell]  5 Tm 3.41-3.43, 4 Dy 3.56
Dy  0.2500  0.7500  0.5000 [2 per cell]  4 Dy 3.41, 4 Tm 3.51, 4 Sm 3.56
Tm  0.2500  0.2500  0.7960 [2 per cell]  5 Sm 3.41-3.43, 4 Dy 3.51

Entry 5:
CdHgBr2: optimized geometry, PBE.

Calculated values
Energy relative to the elements, uncorrected ... -0.87 eV/f.u.
Total magnetic moment ... 0.00 μB per cell
ΔE to the lowest computed polymorph ... 401 meV per atom
Crystal system ... tetragonal
Energy ... -10.87 eV for the cell shown
N(E_F) ... 3.401 states/eV/cell

Unit cell a=4.2033 b=4.2033 c=14.4404 alpha=90.00 beta=90.00 gamma=90.00
With the nearest neighbours (Å) after each atom.
Space group I-4m2 (No. 119)
Inequivalent atoms, fractional coordinates:
Cd  0.0000  0.0000  0.0000 [2 per cell]  4 Br 2.97
Hg  0.0000  0.5000  0.7500 [2 per cell]  4 Br 2.97
Br  0.0000  0.0000  0.5000 [2 per cell]  4 Cd 2.97
Br  0.0000  0.5000  0.2500 [2 per cell]  4 Hg 2.97

Entry 6:
LiBeP2: optimized geometry, PBE.

Calculated values
Total magnetic moment ... 0.00 μB per cell
Crystal system ... tetragonal
Energy ... -31.82 eV for the cell shown
DFT formation energy ... 0.14 eV per atom
N(E_F) ... 2.571 states/eV/cell

Unit cell a=3.8155 b=3.8155 c=6.9667 alpha=90.00 beta=90.00 gamma=90.00
With the nearest neighbours (Å) after each atom.
Space group I4/mmm (No. 139)
Inequivalent atoms, fractional coordinates:
Li  0.0000  0.0000  0.0000 [2 per cell]  8 P 2.58, 4 Be 2.70
Be  0.0000  0.0000  0.5000 [2 per cell]  8 P 2.58, 4 Li 2.70
P  0.0000  0.5000  0.2500 [4 per cell]  4 Li 2.58, 4 Be 2.58, 4 P 2.70